[1]
A plane-wave DFT calculation with PBEsol was carried out for crystalline Re3SiGe at its relaxed geometry. Values from VASP.

Geometry as Quantum ESPRESSO input:
```
&SYSTEM
  ibrav = 0, nat = 5, ntyp = 3
/
ATOMIC_SPECIES
Re 186.21 Re.upf
Si 28.09 Si.upf
Ge 72.64 Ge.upf
CELL_PARAMETERS angstrom
4.382 0.000 0.000
0.000 4.382 0.000
0.000 0.000 4.382
ATOMIC_POSITIONS crystal
Re 0.000 0.000 0.500
Re 0.000 0.500 0.000
Re 0.500 0.000 0.000
Si 0.000 0.000 0.000
Ge 0.500 0.500 0.500
```

Summary:
Space group   Pm-3m, No. 221
Formation energy from raw total energies   143.0 kJ per mole of atoms

---

[2]
A plane-wave DFT calculation with PBEsol was carried out for crystalline K2BaY at its relaxed geometry. Values from VASP.

Geometry as Quantum ESPRESSO input:
```
&SYSTEM
  ibrav = 0, nat = 4, ntyp = 3
/
ATOMIC_SPECIES
K 39.10 K.upf
Ba 137.33 Ba.upf
Y 88.91 Y.upf
CELL_PARAMETERS angstrom
-2.698 2.698 6.959
2.698 -2.698 6.959
2.698 2.698 -6.959
ATOMIC_POSITIONS crystal
K 0.250 0.750 0.500
K 0.750 0.250 0.500
Ba 0.000 0.000 0.000
Y 0.500 0.500 0.000
```

Summary:
Space group   I4/mmm, No. 139
Calculated formation energy   178 kJ/mol of formula units

---

[3]
A plane-wave DFT calculation with PBEsol was carried out for crystalline Li2ZnAs at its relaxed geometry. Values from VASP.

Geometry as Quantum ESPRESSO input:
```
&SYSTEM
  ibrav = 0, nat = 4, ntyp = 3
/
ATOMIC_SPECIES
Li 6.94 Li.upf
Zn 65.41 Zn.upf
As 74.92 As.upf
CELL_PARAMETERS angstrom
0.000 3.074 3.074
3.074 0.000 3.074
3.074 3.074 0.000
ATOMIC_POSITIONS crystal
Li 0.250 0.250 0.250
Li 0.750 0.750 0.750
Zn 0.000 0.000 0.000
As 0.500 0.500 0.500
```

Summary:
Space group   Fm-3m, No. 225
Calculated formation energy   -151 kJ/mol of formula units

---

[4]
A plane-wave DFT calculation with PBEsol was carried out for crystalline Ba2BeCl at its relaxed geometry. Values from VASP.

Geometry as Quantum ESPRESSO input:
```
&SYSTEM
  ibrav = 0, nat = 4, ntyp = 3
/
ATOMIC_SPECIES
Ba 137.33 Ba.upf
Be 9.01 Be.upf
Cl 35.45 Cl.upf
CELL_PARAMETERS angstrom
0.000 3.853 3.853
3.853 0.000 3.853
3.853 3.853 0.000
ATOMIC_POSITIONS crystal
Ba 0.000 0.000 0.000
Ba 0.250 0.250 0.250
Be 0.500 0.500 0.500
Cl 0.750 0.750 0.750
```

Summary:
Space group   F-43m, No. 216
Formation energy from raw total energies   9.5 kJ per mole of atoms

---

[5]
A plane-wave DFT calculation with PBEsol was carried out for crystalline Li4Ti3V3Ni2O16 at its relaxed geometry. Values from VASP.

Geometry as Quantum ESPRESSO input:
```
&SYSTEM
  ibrav = 0, nat = 28, ntyp = 5
/
ATOMIC_SPECIES
Li 6.94 Li.upf
Ti 47.87 Ti.upf
V 50.94 V.upf
Ni 58.69 Ni.upf
O 16.00 O.upf
CELL_PARAMETERS angstrom
4.988 -2.878 0.000
4.988 2.878 0.000
-0.045 0.000 9.536
ATOMIC_POSITIONS crystal
Li 0.000 0.000 0.000
Li 0.004 0.004 0.496
Li 0.344 0.344 0.895
Li 0.680 0.680 0.396
Ti 0.174 0.174 0.220
Ti 0.349 0.845 0.719
Ti 0.845 0.349 0.719
V 0.189 0.660 0.212
V 0.660 0.189 0.212
V 0.842 0.842 0.709
Ni 0.341 0.341 0.488
Ni 0.676 0.676 0.989
O 0.003 0.003 0.312
O 0.009 0.009 0.817
O 0.049 0.492 0.335
O 0.162 0.681 0.607
O 0.169 0.169 0.604
O 0.333 0.836 0.106
O 0.337 0.337 0.100
O 0.492 0.049 0.335
O 0.493 0.493 0.337
O 0.527 0.527 0.836
O 0.534 0.973 0.836
O 0.674 0.674 0.602
O 0.681 0.162 0.607
O 0.836 0.333 0.106
O 0.845 0.845 0.113
O 0.973 0.534 0.836
```

Summary:
Space group   Cm, No. 8
Formation energy from raw total energies   -219.2 kJ per mole of atoms

---

[6]
A plane-wave DFT calculation with PBEsol was carried out for crystalline Be7Ru6 at its relaxed geometry. Values from VASP.

Geometry as Quantum ESPRESSO input:
```
&SYSTEM
  ibrav = 0, nat = 13, ntyp = 2
/
ATOMIC_SPECIES
Be 9.01 Be.upf
Ru 101.07 Ru.upf
CELL_PARAMETERS angstrom
2.174 1.255 8.165
-2.174 1.255 8.165
0.000 -2.510 8.165
ATOMIC_POSITIONS crystal
Be 0.000 0.000 0.000
Be 0.093 0.093 0.590
Be 0.093 0.590 0.093
Be 0.410 0.907 0.907
Be 0.590 0.093 0.093
Be 0.907 0.410 0.907
Be 0.907 0.907 0.410
Ru 0.167 0.167 0.167
Ru 0.348 0.348 0.348
Ru 0.452 0.452 0.452
Ru 0.548 0.548 0.548
Ru 0.652 0.652 0.652
Ru 0.833 0.833 0.833
```

Summary:
Space group   R-3m, No. 166
Calculated formation energy   -234 kJ/mol of formula units